## 1
A relaxed structure of Nd4Sn, computed with PBE-GGA.

Cell lengths 5.9547, 5.9547, 5.9547 Å; angles 90.00, 90.00, 90.00 degrees
With the nearest neighbours (Å) after each atom.
Element x y z (fractional)
1 Nd 0.0000 0.0000 0.0000  12 Nd 4.21
2 Nd 0.0000 0.5000 0.5000  2 Sn 2.98
3 Nd 0.5000 0.0000 0.5000  2 Sn 2.98
4 Nd 0.5000 0.5000 0.0000  2 Sn 2.98
5 Sn 0.5000 0.5000 0.5000  6 Nd 2.98

Size of the total moment in μB/atom: 0.320
Fermi-level density of states in states/eV per atom: 2.3158
Space-group type: Pm-3m (221)

---

## 2
A relaxed structure of Nd4Sn, computed with PBE-GGA.

Cell lengths 9.4395, 9.4395, 9.4395 Å; angles 146.74, 137.27, 55.20 degrees
With the nearest neighbours (Å) after each atom.
Element x y z (fractional)
1 Nd 0.0000 0.0000 0.0000  8 Nd 3.35-3.61, 4 Sn 3.70
2 Nd 0.1508 0.4008 0.7500  3 Sn 3.44-3.50, 10 Nd 3.61-3.81
3 Nd 0.2124 0.2000 0.0124  4 Nd 3.18-3.35, 2 Sn 3.50
4 Nd 0.3125 0.8000 0.5124  4 Nd 3.18-3.35, 2 Sn 3.50
5 Nd 0.5000 0.0000 0.5000  8 Nd 3.35-3.61, 4 Sn 3.70
6 Nd 0.6875 0.2000 0.4876  4 Nd 3.18-3.35, 2 Sn 3.50
7 Nd 0.7876 0.8000 0.9876  4 Nd 3.18-3.35, 2 Sn 3.50
8 Nd 0.8492 0.5992 0.2500  3 Sn 3.44-3.50, 10 Nd 3.61-3.81
9 Sn 0.3602 0.6102 0.7500  13 Nd 3.44-3.70
10 Sn 0.6398 0.3898 0.2500  13 Nd 3.44-3.70

Size of the total moment in μB/atom: 0.000
Fermi-level density of states in states/eV per atom: 1.2382
Space-group type: Imma (74)

---

It is 1 that is the least stable of them.

---

## 1
A relaxed structure of Nd5Sn, computed with PBE-GGA.

Cell lengths 4.9575, 15.6655, 4.9898 Å; angles 90.00, 90.00, 90.00 degrees
With the nearest neighbours (Å) after each atom.
Element x y z (fractional)
1 Nd 0.0000 0.0000 0.0000  4 Sn 3.52, 8 Nd 3.54
2 Nd 0.0000 0.1603 0.5000  10 Nd 3.52-3.75, 2 Sn 3.53
3 Nd 0.0000 0.3384 0.0000  10 Nd 3.52-3.74, 2 Sn 3.55
4 Nd 0.0000 0.6616 0.0000  10 Nd 3.52-3.74, 2 Sn 3.55
5 Nd 0.0000 0.8397 0.5000  10 Nd 3.52-3.75, 2 Sn 3.53
6 Nd 0.5000 0.1616 0.0000  10 Nd 3.52-3.74, 2 Sn 3.55
7 Nd 0.5000 0.3397 0.5000  10 Nd 3.52-3.75, 2 Sn 3.53
8 Nd 0.5000 0.5000 0.0000  4 Sn 3.52, 8 Nd 3.54
9 Nd 0.5000 0.6603 0.5000  10 Nd 3.52-3.75, 2 Sn 3.53
10 Nd 0.5000 0.8384 0.0000  10 Nd 3.52-3.74, 2 Sn 3.55
11 Sn 0.0000 0.5000 0.5000  12 Nd 3.52-3.55
12 Sn 0.5000 0.0000 0.5000  12 Nd 3.52-3.55

Size of the total moment in μB/atom: 0.000
Fermi-level density of states in states/eV per atom: 1.1757
Space-group type: Cmmm (65)

---

## 2
A relaxed structure of Nd5Sn, computed with PBE-GGA.

Cell lengths 6.2264, 6.2264, 10.6486 Å; angles 90.00, 90.00, 111.68 degrees
With the nearest neighbours (Å) after each atom.
Element x y z (fractional)
1 Nd 0.2500 0.2500 0.1779  10 Nd 3.43-3.79, 2 Sn 3.59
2 Nd 0.2500 0.2500 0.5000  8 Nd 3.43-3.62, 4 Sn 3.52
3 Nd 0.2500 0.2500 0.8221  10 Nd 3.43-3.79, 2 Sn 3.59
4 Nd 0.2500 0.7500 0.3261  9 Nd 3.49-3.71, 3 Sn 3.50
5 Nd 0.2500 0.7500 0.9774  1 Sn 3.44, 11 Nd 3.53-3.78
6 Nd 0.7500 0.2500 0.0226  1 Sn 3.44, 11 Nd 3.53-3.78
7 Nd 0.7500 0.2500 0.6739  9 Nd 3.49-3.71, 3 Sn 3.50
8 Nd 0.7500 0.7500 0.1779  10 Nd 3.43-3.79, 2 Sn 3.59
9 Nd 0.7500 0.7500 0.5000  8 Nd 3.43-3.62, 4 Sn 3.52
10 Nd 0.7500 0.7500 0.8221  10 Nd 3.43-3.79, 2 Sn 3.59
11 Sn 0.2500 0.7500 0.6548  12 Nd 3.44-3.59
12 Sn 0.7500 0.2500 0.3452  12 Nd 3.44-3.59

Size of the total moment in μB/atom: 0.000
Fermi-level density of states in states/eV per atom: 1.2057
Space-group type: Cmme (67)

---

It is 2 that is the least stable of them.